# LaCr2Mo, relaxed, DFT PBEsol
data_LaCr2Mo
_space_group_name_H-M_alt 'P m m m'
_space_group_IT_number 47
_cell_length_a 3.180
_cell_length_b 4.431
_cell_length_c 4.788
_cell_angle_alpha 90.00
_cell_angle_beta 90.00
_cell_angle_gamma 90.00
loop_
_space_group_symop_operation_xyz
'x,y,z'
'-x,-y,-z'
'-x,-y,z'
'x,y,-z'
'x,-y,-z'
'-x,y,z'
'-x,y,-z'
'x,-y,z'
loop_
_atom_site_label
_atom_site_fract_x
_atom_site_fract_y
_atom_site_fract_z
_atom_site_occupancy
La1 0.000 0.000 0.000 1
Cr1 0.000 0.500 0.500 1
Cr2 0.500 0.000 0.500 1
Mo1 0.500 0.500 0.000 1
# **Calculated total energy**: -34.28 eV per formula unit
# **Offset from the most stable computed form**: 336 meV per atom
# **Energy relative to the elements**: 0.829 eV/atom
# **Crystal system**: orthorhombic

***

# CaSc3Zn, relaxed, DFT PBEsol
data_CaSc3Zn
_space_group_name_H-M_alt 'P m -3 m'
_space_group_IT_number 221
_space_group_name_Hall '-P 4 2 3'
_cell_length_a 5.007
_cell_length_b 5.007
_cell_length_c 5.007
_cell_angle_alpha 90.00
_cell_angle_beta 90.00
_cell_angle_gamma 90.00
loop_
_atom_site_label
_atom_site_fract_x
_atom_site_fract_y
_atom_site_fract_z
_atom_site_occupancy
Ca1 0.000 0.000 0.000 1
Sc1 0.000 0.000 0.500 1
Zn1 0.500 0.500 0.500 1
# **Calculated total energy**: -17.55 eV per formula unit
# **Energy relative to the elements**: 1.197 eV/atom
# **Crystal system**: cubic